{"formula": "Cs2ZnTe2", "functional": "PBE-GGA", "state": "optimized geometry", "spacegroup": "P4/mbm (127)", "dos_ef_per_ev_cell": 2.05, "e_tot_ev_per_cell": -23.5, "magmom_total_mub_per_fu": 0.0, "cell": [[8.294, 0.000, 0.000], [0.000, 8.294, 0.000], [0.000, 0.000, 5.992]], "species": ["Cs", "Cs", "Cs", "Cs", "Zn", "Zn", "Te", "Te", "Te", "Te"], "fractional_positions": [[0.151, 0.349, 0.000], [0.349, 0.849, 0.000], [0.651, 0.151, 0.000], [0.849, 0.651, 0.000], [0.000, 0.000, 0.500], [0.500, 0.500, 0.500], [0.176, 0.676, 0.500], [0.324, 0.176, 0.500], [0.676, 0.824, 0.500], [0.824, 0.324, 0.500]]}

=====

{"formula": "CsZnTe2", "functional": "PBE-GGA", "state": "optimized geometry", "spacegroup": "R-3m (166)", "dos_ef_per_ev_cell": 13.34, "e_tot_ev_per_cell": -29.6, "magmom_total_mub_per_fu": 0.5, "cell": [[7.000, 0.000, 0.000], [-3.500, 6.062, 0.000], [0.000, 0.000, 12.880]], "species": ["Cs", "Cs", "Cs", "Zn", "Zn", "Zn", "Te", "Te", "Te", "Te", "Te", "Te"], "fractional_positions": [[0.000, 0.000, 0.000], [0.333, 0.667, 0.667], [0.667, 0.333, 0.333], [0.000, 0.000, 0.500], [0.333, 0.667, 0.167], [0.667, 0.333, 0.833], [0.000, 0.000, 0.309], [0.000, 0.000, 0.691], [0.333, 0.667, 0.357], [0.333, 0.667, 0.976], [0.667, 0.333, 0.024], [0.667, 0.333, 0.643]]}

=====

{"formula": "CsZnTe", "functional": "PBE-GGA", "state": "optimized geometry", "spacegroup": "P2_1/c (14)", "de_polymorph_mev_per_atom": 27, "magmom_total_mub_per_fu": 0.0, "cell": [[7.837, 0.000, 0.000], [0.000, 7.577, 0.000], [-2.475, 0.000, 8.176]], "species": ["Cs", "Cs", "Cs", "Cs", "Zn", "Zn", "Zn", "Zn", "Te", "Te", "Te", "Te"], "fractional_positions": [[0.206, 0.150, 0.254], [0.206, 0.350, 0.754], [0.794, 0.650, 0.246], [0.794, 0.850, 0.746], [0.393, 0.620, 0.441], [0.393, 0.880, 0.941], [0.607, 0.120, 0.059], [0.607, 0.380, 0.559], [0.244, 0.669, 0.119], [0.244, 0.831, 0.619], [0.756, 0.169, 0.381], [0.756, 0.331, 0.881]]}

=====

{"formula": "CsZnTe", "functional": "PBE-GGA", "state": "optimized geometry", "spacegroup": "Cm (8)", "de_polymorph_mev_per_atom": 31, "magmom_total_mub_per_fu": 0.0, "cell": [[12.970, 0.000, 0.000], [0.000, 5.690, 0.000], [-2.033, 0.000, 7.769]], "species": ["Cs", "Cs", "Cs", "Cs", "Zn", "Zn", "Zn", "Zn", "Te", "Te", "Te", "Te"], "fractional_positions": [[0.000, 0.000, 0.000], [0.219, 0.000, 0.635], [0.500, 0.500, 0.000], [0.719, 0.500, 0.635], [0.286, 0.215, 0.230], [0.286, 0.785, 0.230], [0.786, 0.285, 0.230], [0.786, 0.715, 0.230], [0.193, 0.500, 0.963], [0.403, 0.500, 0.468], [0.693, 0.000, 0.963], [0.903, 0.000, 0.468]]}